Entry 1:
## CsGeSe2 (PBE)

Data for CsGeSe2 after structural relaxation.

Unit cell a=7.3608 b=3.6212 c=18.7621 alpha=90.00 beta=90.00 gamma=90.00
Closest atoms and distances in Å follow each position.
Sites, in units of the cell vectors:
Cs1 0.2510 0.7500 0.0845  6 Se 3.61-3.68, 2 Cs 3.62
Cs2 0.7490 0.2500 0.9155  6 Se 3.61-3.68, 2 Cs 3.62
Se1 0.7488 0.2500 0.5862  2 Ge 2.62
Ge1 0.7482 0.7500 0.6874  6 Se 2.62-2.84
Se2 0.9987 0.2500 0.7500  4 Ge 2.83-2.84
Cs3 0.7510 0.7500 0.4155  6 Se 3.61-3.68, 2 Cs 3.62
Se3 0.2512 0.7500 0.4138  2 Ge 2.62
Se4 0.2488 0.2500 0.9138  2 Ge 2.62
Se5 0.0013 0.7500 0.2500  4 Ge 2.83-2.84
Se6 0.4987 0.2500 0.7500  4 Ge 2.83-2.84
Ge2 0.7518 0.2500 0.1874  6 Se 2.62-2.84
Cs4 0.2490 0.2500 0.5845  6 Se 3.61-3.68, 2 Cs 3.62
Ge3 0.2518 0.2500 0.3126  6 Se 2.62-2.84
Se7 0.7512 0.7500 0.0862  2 Ge 2.62
Se8 0.5013 0.7500 0.2500  4 Ge 2.83-2.84
Ge4 0.2482 0.7500 0.8126  6 Se 2.62-2.84

Space group: Pnma, No. 62
E (eV/atom): -3.58

=====

Entry 2:
## CaLa2Tl3 (PBE)

Data for CaLa2Tl3 after structural relaxation.

Unit cell a=3.8209 b=3.8209 c=12.6199 alpha=90.00 beta=90.00 gamma=90.00
Closest atoms and distances in Å follow each position.
Sites, in units of the cell vectors:
Tl1 0.0000 0.0000 0.0000  8 La 3.48, 4 Tl 3.82
Tl2 0.0000 0.0000 0.3439  4 Ca 3.34, 4 La 3.45
La1 0.5000 0.5000 0.8267  8 Tl 3.45-3.48, 4 La 3.82
Tl3 0.0000 0.0000 0.6561  4 Ca 3.34, 4 La 3.45
Ca1 0.5000 0.5000 0.5000  8 Tl 3.34
La2 0.5000 0.5000 0.1733  8 Tl 3.45-3.48, 4 La 3.82

Space group: P4/mmm, No. 123
ΔH_f (0 K) (eV per formula unit): -2.609

=====

Entry 3:
## NaTbAs2O6 (PBE)

Data for NaTbAs2O6 after structural relaxation.

Unit cell a=6.8781 b=7.0540 c=7.0540 alpha=83.76 beta=71.62 gamma=71.62
Closest atoms and distances in Å follow each position.
Sites, in units of the cell vectors:
O1 0.6338 0.8013 0.9719  1 As 1.80
O2 0.7093 0.1054 0.6069  1 As 1.75
Tb1 0.7500 0.0962 0.9038  6 O 2.19-2.41
As1 0.7403 0.2286 0.3759  4 O 1.75-1.92
O3 0.5478 0.6695 0.6419  2 As 1.88-1.92
Na1 0.2500 0.2882 0.7118  4 O 2.48-2.55
As2 0.2597 0.7714 0.6241  4 O 1.75-1.92
O4 0.0478 0.6419 0.6695  2 As 1.88-1.92
O5 0.4522 0.3305 0.3581  2 As 1.88-1.92
O6 0.2907 0.8946 0.3931  1 As 1.75
O7 0.1338 0.9719 0.8013  1 As 1.80
O8 0.9522 0.3581 0.3305  2 As 1.88-1.92
O9 0.7907 0.3931 0.8946  1 As 1.75
Na2 0.7500 0.7118 0.2882  4 O 2.48-2.55
Tb2 0.2500 0.9038 0.0962  6 O 2.19-2.41
As3 0.7597 0.6241 0.7714  4 O 1.75-1.92
O10 0.8662 0.0281 0.1987  1 As 1.80
O11 0.2093 0.6069 0.1054  1 As 1.75
O12 0.3662 0.1987 0.0281  1 As 1.80
As4 0.2403 0.3759 0.2286  4 O 1.75-1.92

Space group: C2/c, No. 15
E (eV/atom): -6.35

=====

Entry 4:
## Tc3SnN (PBE)

Data for Tc3SnN after structural relaxation.

Unit cell a=14.0694 b=8.1580 c=8.1580 alpha=116.12 beta=142.42 gamma=37.58
Closest atoms and distances in Å follow each position.
Sites, in units of the cell vectors:
Tc1 0.6464 0.6057 0.5589  9 Tc 2.67-2.99, 2 Sn 2.88-2.91
Tc2 0.8696 0.7107 0.7979  1 N 1.95
Tc3 0.1464 0.9411 0.8943  9 Tc 2.67-2.99, 2 Sn 2.88-2.91
Tc4 0.1310 0.6327 0.5378  2 N 1.95-1.96
Tc5 0.1304 0.2893 0.2021  1 N 1.95
Sn1 0.7500 0.5320 0.0320  6 Tc 2.86-3.02, 4 N 2.97-3.08, 2 Sn 3.01
Sn2 0.2500 0.8446 0.3446  6 Tc 2.88-2.91, 4 Sn 3.01-3.02, 2 N 3.15
Tc6 0.6304 0.2979 0.2107  1 N 1.95
Sn3 0.2500 0.4680 0.9680  6 Tc 2.86-3.02, 4 N 2.97-3.08, 2 Sn 3.01
N1 0.7278 0.7480 0.4159  3 Tc 1.95-1.96
N2 0.2278 0.0841 0.7520  3 Tc 1.95-1.96
N3 0.7722 0.9159 0.2480  3 Tc 1.95-1.96
Tc7 0.8536 0.0589 0.1057  9 Tc 2.67-2.99, 2 Sn 2.88-2.91
Tc8 0.3696 0.7021 0.7893  1 N 1.95
Tc9 0.6310 0.9622 0.8673  2 N 1.95-1.96
Tc10 0.3690 0.0378 0.1327  2 N 1.95-1.96
Sn4 0.7500 0.1554 0.6554  6 Tc 2.88-2.91, 4 Sn 3.01-3.02, 2 N 3.15
N4 0.2722 0.2520 0.5841  3 Tc 1.95-1.96
Tc11 0.3536 0.3943 0.4411  9 Tc 2.67-2.99, 2 Sn 2.88-2.91
Tc12 0.8690 0.3673 0.4622  2 N 1.95-1.96

Space group: C2/c, No. 15
E (eV/atom): -8.62

=====

Entry 5:
## TiAg3 (PBE)

Data for TiAg3 after structural relaxation.

Unit cell a=2.9162 b=2.9162 c=16.6524 alpha=90.00 beta=90.00 gamma=90.00
Closest atoms and distances in Å follow each position.
Sites, in units of the cell vectors:
Ag1 0.5000 0.0000 0.9368  12 Ag 2.92-2.95
Ti1 0.5000 0.0000 0.4436  8 Ti 2.79-2.92, 4 Ag 2.95
Ag2 0.5000 0.0000 0.1894  12 Ag 2.92-2.96
Ag3 0.5000 0.0000 0.6832  8 Ag 2.92-2.96, 4 Ti 2.95
Ag4 0.0000 0.5000 0.3168  8 Ag 2.92-2.96, 4 Ti 2.95
Ag5 0.0000 0.5000 0.0632  12 Ag 2.92-2.95
Ti2 0.0000 0.5000 0.5564  8 Ti 2.79-2.92, 4 Ag 2.95
Ag6 0.0000 0.5000 0.8106  12 Ag 2.92-2.96

Space group: P4/nmm, No. 129
ΔH_f (0 K) (eV per formula unit): -0.072

=====

Entry 6:
## LiLaInF2 (PBE)

Data for LiLaInF2 after structural relaxation.

Unit cell a=4.6258 b=5.2485 c=4.6258 alpha=90.00 beta=90.00 gamma=90.00
Closest atoms and distances in Å follow each position.
Sites, in units of the cell vectors:
La1 0.5000 0.5000 0.5000  4 Li 3.27, 8 F 3.50
F1 0.0000 0.0000 0.5000  2 In 2.31
F2 0.5000 0.0000 0.0000  2 In 2.31
In1 0.0000 0.0000 0.0000  4 F 2.31
Li1 0.0000 0.5000 0.0000  2 In 2.62

Space group: P4/mmm, No. 123
E (eV/atom): -3.81

=====

Entry 7:
## Co2P (PBE)

Data for Co2P after structural relaxation.

Unit cell a=4.2476 b=4.2476 c=3.9524 alpha=90.00 beta=90.00 gamma=102.23
Closest atoms and distances in Å follow each position.
Sites, in units of the cell vectors:
P1 0.7295 0.7295 0.7500  8 Co 2.18-2.39
Co1 0.8244 0.4476 0.2500  4 P 2.18-2.39
P2 0.2705 0.2705 0.2500  8 Co 2.18-2.39
Co2 0.4476 0.8244 0.2500  4 P 2.18-2.39
Co3 0.5524 0.1756 0.7500  4 P 2.18-2.39
Co4 0.1756 0.5524 0.7500  4 P 2.18-2.39

Space group: Cmcm, No. 63
ΔH_f (0 K) (eV per formula unit): -0.773

=====

Entry 8:
## TePdPt (PBE)

Data for TePdPt after structural relaxation.

Unit cell a=4.4629 b=4.4629 c=4.4629 alpha=60.00 beta=60.00 gamma=60.00
Closest atoms and distances in Å follow each position.
Sites, in units of the cell vectors:
Pt1 0.2500 0.2500 0.2500  4 Te 2.73, 4 Pd 2.73
Pd1 0.5000 0.5000 0.5000  4 Pt 2.73
Te1 0.0000 0.0000 0.0000  4 Pt 2.73

Space group: F-43m, No. 216
E (eV/atom): -4.89

=====

Entry 9:
## CsPaTeSe3 (PBE)

Data for CsPaTeSe3 after structural relaxation.

Unit cell a=8.0994 b=5.7534 c=10.3603 alpha=106.12 beta=90.00 gamma=90.00
Closest atoms and distances in Å follow each position.
Sites, in units of the cell vectors:
Cs1 0.7500 0.1692 0.3385  8 Se 3.76-4.18, 1 Te 4.11
Se1 0.5000 0.2480 0.0000  2 Se 2.85-2.90, 2 Pa 2.87
Pa1 0.7500 0.9274 0.8548  5 Se 2.71-2.87
Se2 0.5000 0.7520 0.0000  2 Se 2.85-2.90, 2 Pa 2.87
Te1 0.2500 0.6245 0.2490  2 Pa 3.06, 2 Se 3.33
Se3 0.0000 0.2480 0.0000  2 Se 2.85-2.90, 2 Pa 2.87
Se4 0.0000 0.7520 0.0000  2 Se 2.85-2.90, 2 Pa 2.87
Se5 0.2500 0.2088 0.4176  1 Pa 2.71
Cs2 0.2500 0.8308 0.6615  8 Se 3.76-4.18, 1 Te 4.11
Se6 0.7500 0.7912 0.5824  1 Pa 2.71
Pa2 0.2500 0.0726 0.1452  5 Se 2.71-2.87
Te2 0.7500 0.3755 0.7510  2 Pa 3.06, 2 Se 3.33

Space group: Cmcm, No. 63
E (eV/atom): -4.85

=====

Entry 10:
## CuHg4 (PBE)

Data for CuHg4 after structural relaxation.

Unit cell a=5.2614 b=5.2614 c=5.2614 alpha=90.00 beta=90.00 gamma=90.00
Closest atoms and distances in Å follow each position.
Sites, in units of the cell vectors:
Hg1 0.5000 0.5000 0.0000  2 Cu 2.63
Hg2 0.0000 0.0000 0.0000  12 Hg 3.72
Hg3 0.0000 0.5000 0.5000  2 Cu 2.63
Hg4 0.5000 0.0000 0.5000  2 Cu 2.63
Cu1 0.5000 0.5000 0.5000  6 Hg 2.63

Space group: Pm-3m, No. 221
ΔH_f (0 K) (eV per formula unit): 0.531

=====

Entry 11:
## SnP4N7 (PBE)

Data for SnP4N7 after structural relaxation.

Unit cell a=4.7059 b=5.0765 c=12.3649 alpha=90.00 beta=90.00 gamma=90.00
Closest atoms and distances in Å follow each position.
Sites, in units of the cell vectors:
Sn1 0.5617 0.8667 0.5000  2 N 2.46
N1 0.4226 0.8906 0.2087  3 P 1.72-1.76
N2 0.4779 0.7107 0.0000  2 P 1.59
P1 0.5982 0.6749 0.1190  4 N 1.59-1.76
N3 0.4226 0.8906 0.7913  3 P 1.72-1.76
N4 0.9779 0.2893 0.5000  2 P 1.59
Sn2 0.0617 0.1333 0.0000  2 N 2.46
P2 0.0763 0.8231 0.7563  4 N 1.56-1.73
N5 0.9241 0.7831 0.8726  2 P 1.62-1.63
N6 0.4241 0.2169 0.3726  2 P 1.62-1.63
P3 0.0763 0.8231 0.2437  4 N 1.56-1.73
P4 0.5982 0.6749 0.8810  4 N 1.59-1.76
N7 0.5364 0.3901 0.8331  2 P 1.56-1.59
N8 0.0364 0.6099 0.6669  2 P 1.56-1.59
N9 0.9241 0.7831 0.1274  2 P 1.62-1.63
N10 0.9226 0.1094 0.2913  3 P 1.72-1.76
N11 0.4241 0.2169 0.6274  2 P 1.62-1.63
P5 0.0982 0.3251 0.6190  4 N 1.59-1.76
N12 0.0364 0.6099 0.3331  2 P 1.56-1.59
N13 0.5364 0.3901 0.1669  2 P 1.56-1.59
P6 0.5763 0.1769 0.7437  4 N 1.56-1.73
P7 0.0982 0.3251 0.3810  4 N 1.59-1.76
P8 0.5763 0.1769 0.2563  4 N 1.56-1.73
N14 0.9226 0.1094 0.7087  3 P 1.72-1.76

Space group: Pmn2_1, No. 31
E (eV/atom): -7.13

=====

no.,N(E_F) (states/eV/atom)
1,0.368
2,0.810
3,0.209
4,0.702
5,0.317
6,1.009
7,1.310
8,0.674
9,0.749
10,0.343
11,0.181